The following is a PBE calculation of an optimized crystal structure of BaAl2Ag, from Alexandria via LeMat-Bulk.

Geometry as CIF:
```
data_BaAl2Ag
_symmetry_space_group_name_H-M 'C m m m'
_symmetry_Int_Tables_number 65
_symmetry_space_group_name_Hall '-C 2 2'
_cell_length_a 4.9859
_cell_length_b 5.0432
_cell_length_c 7.8562
_cell_angle_alpha 90.00
_cell_angle_beta 90.00
_cell_angle_gamma 90.00
loop_
_atom_site_label
_atom_site_fract_x
_atom_site_fract_y
_atom_site_fract_z
Ba1 0.0000 0.0000 0.0000
Al1 0.0000 0.5000 0.3232
Ag1 0.0000 0.0000 0.5000
```

Formation enthalpy at 0 K: -2 kJ/mol of atoms
Total magnetic moment: 0.0 μB per formula unit
Calculated total energy: -24.670 eV/cell